No. 1
# PBE ZnTe2Br, optimized geometry
data_ZnTe2Br
_chemical_formula_sum 'Zn1 Te2 Br1'
_cell_length_a 6.4013
_cell_length_b 6.4013
_cell_length_c 6.4013
_cell_angle_alpha 146.14
_cell_angle_beta 102.44
_cell_angle_gamma 87.37
_space_group_name_H-M_alt 'P 1'
_space_group_IT_number 1
loop_
_space_group_symop_operation_xyz
'x,y,z'
loop_
_atom_site_label
_atom_site_type_symbol
_atom_site_fract_x
_atom_site_fract_y
_atom_site_fract_z
Zn1 Zn 0.0000 0.0000 0.0000
Te1 Te 0.5428 0.5428 0.0000
Te2 Te 0.7782 0.2782 0.5000
Br1 Br 0.1782 0.6782 0.5000
# - Distance to the lowest polymorph of the same formula: 155 meV/atom
# - Symmetry: Imm2, No. 44
# - N(E_F): 0.4775 states/eV per atom

=====

No. 2
# PBE ZnTeBr2, optimized geometry
data_ZnTeBr2
_chemical_formula_sum 'Zn1 Te1 Br2'
_cell_length_a 5.2731
_cell_length_b 5.2731
_cell_length_c 5.2731
_cell_angle_alpha 60.00
_cell_angle_beta 60.00
_cell_angle_gamma 60.00
_space_group_name_H-M_alt 'P 1'
_space_group_IT_number 1
loop_
_space_group_symop_operation_xyz
'x,y,z'
loop_
_atom_site_label
_atom_site_type_symbol
_atom_site_fract_x
_atom_site_fract_y
_atom_site_fract_z
Zn1 Zn 0.0000 0.0000 0.0000
Te1 Te 0.5000 0.5000 0.5000
Br1 Br 0.2500 0.2500 0.2500
Br2 Br 0.7500 0.7500 0.7500
# - Symmetry: Fm-3m, No. 225
# - Electronic total energy: -1.57 eV/atom
# - N(E_F): 1.3293 states/eV per atom

=====

No. 3
# PBE ZnTeBr2, optimized geometry
data_ZnTeBr2
_chemical_formula_sum 'Zn1 Te1 Br2'
_cell_length_a 6.0161
_cell_length_b 6.0161
_cell_length_c 6.1182
_cell_angle_alpha 100.74
_cell_angle_beta 100.74
_cell_angle_gamma 37.96
_space_group_name_H-M_alt 'P 1'
_space_group_IT_number 1
loop_
_space_group_symop_operation_xyz
'x,y,z'
loop_
_atom_site_label
_atom_site_type_symbol
_atom_site_fract_x
_atom_site_fract_y
_atom_site_fract_z
Zn1 Zn 0.0000 0.0000 0.0000
Te1 Te 0.6534 0.6534 0.1887
Br1 Br 0.3421 0.3421 0.8713
Br2 Br 0.5301 0.5301 0.5006
# - Symmetry: Cm, No. 8
# - Electronic total energy: -2.20 eV/atom
# - N(E_F): 0.1728 states/eV per atom

=====

No. 4
# PBE ZnTe2Br, optimized geometry
data_ZnTe2Br
_chemical_formula_sum 'Zn1 Te2 Br1'
_cell_length_a 3.7012
_cell_length_b 3.7012
_cell_length_c 7.7256
_cell_angle_alpha 90.00
_cell_angle_beta 90.00
_cell_angle_gamma 90.00
_space_group_name_H-M_alt 'P 1'
_space_group_IT_number 1
loop_
_space_group_symop_operation_xyz
'x,y,z'
loop_
_atom_site_label
_atom_site_type_symbol
_atom_site_fract_x
_atom_site_fract_y
_atom_site_fract_z
Zn1 Zn 0.0000 0.0000 0.0000
Te1 Te 0.5000 0.5000 0.1855
Te2 Te 0.5000 0.5000 0.8145
Br1 Br 0.0000 0.0000 0.5000
# - Distance to the lowest polymorph of the same formula: 256 meV/atom
# - Symmetry: P4/mmm, No. 123
# - N(E_F): 0.3498 states/eV per atom